No. 1
Density functional theory data (GGA-PBE) for a geometry-optimized SrAlCuP2 structure.

```
SrAlCuP2
1.0
-3.828 2.588 -2.158
-3.592 -0.663 5.576
3.305 5.698 0.972
Sr Al Cu P
2 2 2 4
direct
0.217 0.500 0.750 Sr
0.783 0.500 0.250 Sr
0.499 0.000 0.250 Al
0.501 0.000 0.750 Al
0.000 0.000 0.000 Cu
0.000 0.000 0.500 Cu
0.692 0.766 0.945 P
0.692 0.234 0.555 P
0.308 0.766 0.445 P
0.308 0.234 0.055 P
```

## Properties
formation energy from the elements: -0.63 eV per atom
offset from the most stable computed form: 0 meV/atom

No. 2
Density functional theory data (GGA-PBE) for a geometry-optimized Ta2AlCuP structure.

```
Ta2AlCuP
1.0
-3.585 2.409 2.120
-3.032 -1.500 -3.422
-0.894 -3.302 2.240
P Al Cu Ta
1 1 1 2
direct
0.500 0.500 0.500 P
0.000 0.000 0.000 Al
0.000 0.000 0.500 Cu
0.000 0.500 0.000 Ta
0.500 0.000 0.000 Ta
```

## Properties
formation energy from the elements: 1.31 eV per atom